Er6Ru2Pb | PBE | optimized geometry

```
data_Er6Ru2Pb
_cell_length_a 9.3154
_cell_length_b 9.5356
_cell_length_c 10.4128
_cell_angle_alpha 90.00
_cell_angle_beta 90.00
_cell_angle_gamma 90.00
_space_group_name_H-M_alt 'I m m m'
_space_group_IT_number 71
_space_group_name_Hall '-I 2 2'
loop_
_atom_site_label
_atom_site_type_symbol
_atom_site_fract_x
_atom_site_fract_y
_atom_site_fract_z
Er1 Er 0.0000 0.2120 0.2391
Er2 Er 0.1876 0.5000 0.1680
Er3 Er 0.2109 0.3176 0.5000
Ru1 Ru 0.0000 0.3309 0.0000
Ru2 Ru 0.0000 0.5000 0.3703
Pb1 Pb 0.0000 0.0000 0.0000
Pb2 Pb 0.0000 0.0000 0.5000
```

Calculated values
The calculated formation energy is -3.7 eV/f.u. The total magnetization is 0.0 Bohr magnetons per cell.

***

TlC | PBE | optimized geometry

```
data_TlC
_cell_length_a 2.8354
_cell_length_b 2.8354
_cell_length_c 10.7906
_cell_angle_alpha 90.00
_cell_angle_beta 90.00
_cell_angle_gamma 120.00
_space_group_name_H-M_alt 'P -3 m 1'
_space_group_IT_number 164
_space_group_name_Hall '-P 3 2"'
loop_
_atom_site_label
_atom_site_type_symbol
_atom_site_fract_x
_atom_site_fract_y
_atom_site_fract_z
Tl1 Tl 0.3333 0.6667 0.1608
C1 C 0.3333 0.6667 0.4999
```

Calculated values
The calculated formation energy is 2.0 eV/f.u. As for the energy relative to the lowest polymorph listed for this composition: 240 meV per atom. The total magnetization is 0.0 Bohr magnetons per cell.

***

Y2CrRh | PBE | optimized geometry

```
data_Y2CrRh
_cell_length_a 4.8600
_cell_length_b 4.8600
_cell_length_c 3.5997
_cell_angle_alpha 90.00
_cell_angle_beta 90.00
_cell_angle_gamma 90.00
_space_group_name_H-M_alt 'P 4/m m m'
_space_group_IT_number 123
_space_group_name_Hall '-P 4 2'
loop_
_atom_site_label
_atom_site_type_symbol
_atom_site_fract_x
_atom_site_fract_y
_atom_site_fract_z
Y1 Y 0.0000 0.5000 0.0000
Cr1 Cr 0.0000 0.0000 0.5000
Rh1 Rh 0.5000 0.5000 0.5000
```

Calculated values
The calculated formation energy is -0.9 eV/f.u. As for the energy relative to the lowest polymorph listed for this composition: 0 meV per atom. The total magnetization is 3.2 Bohr magnetons per cell.

***

La6Pr3Al | PBE | optimized geometry

```
data_La6Pr3Al
_cell_length_a 9.9629
_cell_length_b 5.8521
_cell_length_c 12.9404
_cell_angle_alpha 90.00
_cell_angle_beta 111.45
_cell_angle_gamma 90.00
_space_group_name_H-M_alt 'P 1 21/m 1'
_space_group_IT_number 11
loop_
_space_group_symop_operation_xyz
'x,y,z'
'-x,-y,-z'
'-x,y+1/2,-z'
'x,-y+1/2,z'
loop_
_atom_site_label
_atom_site_type_symbol
_atom_site_fract_x
_atom_site_fract_y
_atom_site_fract_z
La1 La 0.0349 0.2500 0.4259
La2 La 0.2003 0.7500 0.1687
La3 La 0.2767 0.2500 0.0098
La4 La 0.3446 0.2500 0.3346
La5 La 0.3620 0.7500 0.8188
La6 La 0.4278 0.2500 0.6425
Pr1 Pr 0.0275 0.7500 0.8749
Pr2 Pr 0.1020 0.2500 0.7229
Pr3 Pr 0.2716 0.7500 0.4820
Al1 Al 0.4676 0.7500 0.0878
```

Calculated values
The calculated formation energy is -0.3 eV/f.u. The total magnetization is 0.0 Bohr magnetons per cell.

***

Sr2GaTePd | PBE | optimized geometry

```
data_Sr2GaTePd
_cell_length_a 5.8495
_cell_length_b 5.8495
_cell_length_c 4.7686
_cell_angle_alpha 90.00
_cell_angle_beta 90.00
_cell_angle_gamma 90.00
_space_group_name_H-M_alt 'P 4/m m m'
_space_group_IT_number 123
_space_group_name_Hall '-P 4 2'
loop_
_atom_site_label
_atom_site_type_symbol
_atom_site_fract_x
_atom_site_fract_y
_atom_site_fract_z
Sr1 Sr 0.0000 0.5000 0.0000
Ga1 Ga 0.0000 0.0000 0.5000
Te1 Te 0.5000 0.5000 0.5000
Pd1 Pd 0.0000 0.0000 0.0000
```

Calculated values
As for the uncorrected formation energy: -798 meV/atom. The total magnetization is 0.0 Bohr magnetons per cell.

***

ScTcPt2 | PBE | optimized geometry

```
data_ScTcPt2
_cell_length_a 4.0006
_cell_length_b 4.0006
_cell_length_c 8.0813
_cell_angle_alpha 90.00
_cell_angle_beta 90.00
_cell_angle_gamma 90.00
_space_group_name_H-M_alt 'I -4 m 2'
_space_group_IT_number 119
_space_group_name_Hall 'I -4 -2'
loop_
_atom_site_label
_atom_site_type_symbol
_atom_site_fract_x
_atom_site_fract_y
_atom_site_fract_z
Sc1 Sc 0.0000 0.0000 0.0000
Tc1 Tc 0.0000 0.5000 0.2500
Pt1 Pt 0.0000 0.0000 0.5000
Pt2 Pt 0.0000 0.5000 0.7500
```

Calculated values
The calculated formation energy is -2.0 eV/f.u. As for the energy relative to the lowest polymorph listed for this composition: 141 meV per atom. The total magnetization is 2.3 Bohr magnetons per cell.

***

> What is the total magnetization in the fifth record?

0.0 Bohr magnetons per cell

***

> The highest total magnetization belongs to which entry?

Y2CrRh

***

> Which value of total magnetization does entry 3 give?

3.2 Bohr magnetons per cell